Crystalline SmDy2GaN at its relaxed geometry, computed with PBE.

Cell: 4.756 4.756 4.888 Å, 90.00 90.00 90.00°
Space group P4/mmm (No. 123)
Asymmetric unit:
Sm  0.000  0.000  0.000
Dy  0.000  0.500  0.500
Ga  0.500  0.500  0.000
N  0.000  0.000  0.500

Properties
Crystal system: tetragonal
Formation energy (no corrections) in eV per atom: -0.937


Crystalline NbTlGaCo2 at its relaxed geometry, computed with PBE.

Cell: 4.702 4.702 5.256 Å, 90.00 90.00 90.00°
Space group P4/mmm (No. 123)
Asymmetric unit:
Nb  0.000  0.000  0.000
Tl  0.000  0.000  0.500
Ga  0.500  0.500  0.000
Co  0.000  0.500  0.500

Properties
Crystal system: tetragonal
Energy of formation in eV per atom: 1.69


Crystalline MgPPt2 at its relaxed geometry, computed with PBE.

Cell: 3.0290 3.0290 23.9907 Å, 90.00 90.00 120.00°
Space group R-3m (No. 166, hexagonal axes)
Asymmetric unit:
Mg  0.0000  0.0000  0.0000
P  0.0000  0.0000  0.5000
Pt  0.0000  0.0000  0.2406

Properties
Crystal system: trigonal
Energy of formation in eV per atom: -0.34


Crystalline Pu3Ir2Pt at its relaxed geometry, computed with PBE.

Cell: 5.162 15.769 2.986 Å, 90.00 90.00 90.00°
Space group Cmmm (No. 65)
Asymmetric unit:
Pu  0.000  0.000  0.000
Pu  0.000  0.330  0.000
Ir  0.000  0.169  0.500
Pt  0.000  0.500  0.500

Properties
Crystal system: orthorhombic
Energy of formation in eV per atom: -0.50
Energy above the most stable polymorph in this dataset in meV/atom: 0


Crystalline Sm4Te2PPt at its relaxed geometry, computed with PBE.

Cell: 7.473 4.211 7.600 Å, 90.00 108.73 90.00°
Space group P2/m (No. 10)
Asymmetric unit:
Sm  0.233  0.000  0.217
Sm  0.263  0.500  0.787
Te  0.000  0.000  0.500
Te  0.500  0.500  0.500
P  0.000  0.500  0.000
Pt  0.500  0.000  0.000

Properties
Crystal system: monoclinic
Formation energy (no corrections) in eV per atom: -1.383


Crystalline ZrMo2 at its relaxed geometry, computed with PBE.

Cell: 3.403 3.403 19.906 Å, 90.00 90.00 90.00°
Space group I4_1/amd (No. 141, origin choice 2)
Asymmetric unit:
Zr  0.000  0.250  0.375
Mo  0.000  0.250  0.794

Properties
Crystal system: tetragonal
Energy of formation in eV per atom: 0.46
Energy above the most stable polymorph in this dataset in meV/atom: 605


Crystalline MnCr2Mo at its relaxed geometry, computed with PBE.

Cell: 5.872 5.872 5.872 Å, 90.00 90.00 90.00°
Space group F-43m (No. 216)
Asymmetric unit:
Mn  0.000  0.000  0.000
Cr  0.000  0.000  0.500
Cr  0.250  0.250  0.250
Mo  0.250  0.250  0.750

Properties
Crystal system: cubic
Energy of formation in eV per atom: 0.10
Energy above the most stable polymorph in this dataset in meV/atom: 11


Crystalline AcPm2Ho5 at its relaxed geometry, computed with PBE.

Cell: 8.600 11.312 12.436 Å, 95.16 108.28 106.46°
Space group P-1 (No. 2)
Asymmetric unit:
Ac  0.026  0.403  0.180
Ac  0.099  0.342  0.693
Pm  0.224  0.091  0.567
Pm  0.343  0.281  0.372
Pm  0.414  0.219  0.882
Pm  0.465  0.030  0.245
Ho  0.042  0.973  0.253
Ho  0.092  0.784  0.622
Ho  0.149  0.154  0.055
Ho  0.168  0.724  0.131
Ho  0.216  0.534  0.497
Ho  0.277  0.912  0.934
Ho  0.295  0.469  0.008
Ho  0.353  0.845  0.444
Ho  0.408  0.662  0.808
Ho  0.474  0.594  0.320

Properties
Crystal system: triclinic
Energy of formation in eV per atom: 0.04


Crystalline Zr2CoSi at its relaxed geometry, computed with PBE.

Cell: 6.446 6.446 6.446 Å, 90.00 90.00 90.00°
Space group F-43m (No. 216)
Asymmetric unit:
Zr  0.000  0.000  0.000
Zr  0.250  0.250  0.250
Co  0.000  0.000  0.500
Si  0.250  0.250  0.750

Properties
Crystal system: cubic
Formation energy (no corrections) in eV per atom: 0.012


Crystalline TbY3C8 at its relaxed geometry, computed with PBE.

Cell: 5.210 6.213 10.462 Å, 90.00 90.00 90.00°
Space group Immm (No. 71)
Asymmetric unit:
Tb  0.000  0.000  0.000
Y  0.000  0.000  0.500
Y  0.000  0.500  0.250
C  0.000  0.105  0.250
C  0.000  0.395  0.000
C  0.000  0.395  0.500

Properties
Crystal system: orthorhombic
Energy of formation in eV per atom: -0.18


Crystalline LaDy4Ge4 at its relaxed geometry, computed with PBE.

Cell: 9.417 9.417 5.789 Å, 90.00 90.00 90.00°
Space group P4_2/n (No. 86, origin choice 2)
Asymmetric unit:
La  0.250  0.250  0.250
Dy  0.100  0.641  0.137
Ge  0.047  0.598  0.645

Properties
Crystal system: tetragonal
Energy of formation in eV per atom: -0.60


Crystalline SrErGa4 at its relaxed geometry, computed with PBE.

Cell: 7.966 7.966 7.966 Å, 90.00 90.00 90.00°
Space group F-43m (No. 216)
Asymmetric unit:
Sr  0.000  0.000  0.000
Er  0.250  0.250  0.250
Ga  0.125  0.125  0.625

Properties
Crystal system: cubic
Energy of formation in eV per atom: -0.41
Energy above the most stable polymorph in this dataset in meV/atom: 85


Crystalline MgTaRu2 at its relaxed geometry, computed with PBE.

Cell: 3.196 4.786 8.307 Å, 90.00 90.00 90.00°
Space group Immm (No. 71)
Asymmetric unit:
Mg  0.000  0.000  0.000
Ta  0.000  0.000  0.500
Ru  0.000  0.500  0.241

Properties
Crystal system: orthorhombic
Energy of formation in eV per atom: -0.03


Crystalline MnAlGeRu at its relaxed geometry, computed with PBE.

Cell: 5.967 5.967 5.967 Å, 90.00 90.00 90.00°
Space group F-43m (No. 216)
Asymmetric unit:
Mn  0.000  0.000  0.000
Al  0.250  0.250  0.250
Ge  0.250  0.250  0.750
Ru  0.000  0.000  0.500

Properties
Crystal system: cubic
Energy of formation in eV per atom: -0.23


Crystalline Rb2Tl4HgBi3 at its relaxed geometry, computed with PBE.

Cell: 5.372 5.372 13.479 Å, 90.00 90.00 90.00°
Space group P-4m2 (No. 115)
Asymmetric unit:
Rb  0.000  0.500  0.247
Tl  0.000  0.000  0.500
Tl  0.000  0.500  0.874
Tl  0.500  0.500  0.500
Hg  0.500  0.500  0.000
Bi  0.000  0.000  0.000
Bi  0.000  0.500  0.632

Properties
Crystal system: tetragonal
Energy of formation in eV per atom: -0.15


Crystalline CsTa2FeSe at its relaxed geometry, computed with PBE.

Cell: 4.685 4.685 5.702 Å, 90.00 90.00 90.00°
Space group P4/mmm (No. 123)
Asymmetric unit:
Cs  0.000  0.000  0.000
Ta  0.000  0.500  0.500
Fe  0.500  0.500  0.500
Se  0.500  0.500  0.000

Properties
Crystal system: tetragonal
Formation energy (no corrections) in eV per atom: 1.159


Crystalline Li2CuPtO4 at its relaxed geometry, computed with PBE.

Cell: 5.401 2.964 5.680 Å, 90.00 116.71 90.00°
Space group P2/m (No. 10)
Asymmetric unit:
Li  0.000  0.000  0.000
Li  0.500  0.500  0.500
Cu  0.000  0.000  0.500
Pt  0.500  0.500  0.000
O  0.081  0.500  0.758
O  0.436  0.000  0.217

Properties
Crystal system: monoclinic
Formation energy (no corrections) in eV per atom: -1.095


Crystalline NdSm2DyN4 at its relaxed geometry, computed with PBE.

Cell: 6.193 3.578 6.195 Å, 90.00 109.42 90.00°
Space group P2/m (No. 10)
Asymmetric unit:
Nd  0.000  0.000  0.000
Sm  0.500  0.000  0.500
Sm  0.500  0.500  0.000
Dy  0.000  0.500  0.500
N  0.247  0.000  0.744
N  0.250  0.500  0.255

Properties
Crystal system: monoclinic
Formation energy (no corrections) in eV per atom: -1.492


Crystalline Ce2CuSnS5 at its relaxed geometry, computed with PBE.

Cell: 3.969 17.341 11.849 Å, 90.00 90.00 90.00°
Space group Cmc2_1 (No. 36)
Asymmetric unit:
Ce  0.000  0.114  0.000
Ce  0.000  0.124  0.624
Cu  0.000  0.254  0.434
Sn  0.000  0.408  0.798
S  0.000  0.035  0.412
S  0.000  0.304  0.627
S  0.000  0.307  0.973
S  0.000  0.358  0.318
S  0.000  0.497  0.614

Properties
Crystal system: orthorhombic
Formation energy (no corrections) in eV per atom: -1.202


Crystalline ErBC at its relaxed geometry, computed with PBE.

Cell: 4.211 7.030 5.849 Å, 90.00 90.00 90.00°
Space group Pbcm (No. 57)
Asymmetric unit:
Er  0.208  0.085  0.250
B  0.240  0.750  0.000
C  0.309  0.748  0.250

Properties
Crystal system: orthorhombic
Energy of formation in eV per atom: -0.25
Energy above the most stable polymorph in this dataset in meV/atom: 204